(1)
KHfSiO5: optimized geometry, PBE-GGA.

## Properties
Total energy (eV per atom): -7.78
Energy relative to the elements, uncorrected (kJ/mol of formula units): -2021

a b c (Å): 5.846 5.846 7.804
angles (deg): 104.67 104.67 105.58
Element x y z (fractional)
K 0.330 0.670 0.250
K 0.670 0.330 0.750
Hf 0.000 0.000 0.500
Hf 0.000 0.000 0.000
Si 0.690 0.310 0.250
Si 0.310 0.690 0.750
O 0.060 0.940 0.250
O 0.940 0.060 0.750
O 0.862 0.282 0.114
O 0.138 0.718 0.886
O 0.718 0.138 0.386
O 0.282 0.862 0.614
O 0.775 0.613 0.378
O 0.225 0.387 0.622
O 0.387 0.225 0.122
O 0.613 0.775 0.878

***

(2)
CuPdAu2: optimized geometry, PBE-GGA.

## Properties
Total energy (eV per atom): -3.76
E above lowest polymorph (meV per atom): 295
Formation energy from the elements (meV per atom): 202.9

a b c (Å): 6.031 6.031 6.031
angles (deg): 53.95 153.41 133.97
Element x y z (fractional)
Cu 0.000 0.000 0.000
Pd 0.000 0.500 0.500
Au 0.000 0.240 0.240
Au 0.000 0.760 0.760

***

Repeat the second record exactly.
CuPdAu2: optimized geometry, PBE-GGA.

## Properties
Total energy (eV per atom): -3.76
E above lowest polymorph (meV per atom): 295
Formation energy from the elements (meV per atom): 202.9

a b c (Å): 6.031 6.031 6.031
angles (deg): 53.95 153.41 133.97
Element x y z (fractional)
Cu 0.000 0.000 0.000
Pd 0.000 0.500 0.500
Au 0.000 0.240 0.240
Au 0.000 0.760 0.760